VASP calculation (PBEsol) on a relaxed CdCl5 crystal.

Structure (POSCAR):
```
CdCl5
1.0
3.621 0.000 0.000
0.000 7.370 -0.520
-1.811 -0.723 7.063
Cl Cd
5 1
direct
0.670 0.082 0.341
0.340 0.640 0.680
0.745 0.336 0.490
0.084 0.802 0.168
0.412 0.105 0.825
0.915 0.869 0.831
```

## Properties
- DOS at the Fermi energy: 3.831 states/eV/f.u.
- Raw total energy: -13.3 eV per cell